[1]
MnCrSe2: PBEsol geometry, SCAN.

## Properties
total magnetization: 12.6 μB per cell
uncorrected formation energy: -0.50 eV per atom

Cell: 3.286 3.286 13.267 Å, 90.00 90.00 90.00°
Space group Amm2 (No. 38)
Inequivalent atoms, fractional coordinates:
Mn1 0.000 0.000 0.000 (multiplicity 2)
Cr1 0.500 0.000 0.618 (multiplicity 2)
Se1 0.000 0.000 0.188 (multiplicity 2)
Se2 0.500 0.000 0.431 (multiplicity 2)

***

[2]
Mn3CrSe: PBEsol geometry, SCAN.

## Properties
total magnetization: 7.5 μB per cell
uncorrected formation energy: 0.65 eV per atom

Cell: 4.339 4.339 4.339 Å, 90.00 90.00 90.00°
Space group Pm-3m (No. 221)
Inequivalent atoms, fractional coordinates:
Mn1 0.000 0.000 0.500 (multiplicity 3)
Cr1 0.000 0.000 0.000 (multiplicity 1)
Se1 0.500 0.500 0.500 (multiplicity 1)

***

Please write out number 1 again, unchanged.
MnCrSe2: PBEsol geometry, SCAN.

## Properties
total magnetization: 12.6 μB per cell
uncorrected formation energy: -0.50 eV per atom

Cell: 3.286 3.286 13.267 Å, 90.00 90.00 90.00°
Space group Amm2 (No. 38)
Inequivalent atoms, fractional coordinates:
Mn1 0.000 0.000 0.000 (multiplicity 2)
Cr1 0.500 0.000 0.618 (multiplicity 2)
Se1 0.000 0.000 0.188 (multiplicity 2)
Se2 0.500 0.000 0.431 (multiplicity 2)

***

Q: What is the formula in the second record?
A: Mn3CrSe

***

Q: Among the records above, which one has the highest uncorrected formation energy?
A: Mn3CrSe

***

Q: What is the total magnetization in the first record?
A: 12.6 μB per cell